Record 1
# PBEsol Cd7Sb, relaxed
data_Cd7Sb
_chemical_formula_sum 'Cd28 Sb4'
_symmetry_space_group_name_H-M 'F m -3 m'
_symmetry_Int_Tables_number 225
_symmetry_space_group_name_Hall '-F 4 2 3'
_cell_length_a 8.8675
_cell_length_b 8.8675
_cell_length_c 8.8675
_cell_angle_alpha 90.00
_cell_angle_beta 90.00
_cell_angle_gamma 90.00
loop_
_atom_site_label
_atom_site_type_symbol
_atom_site_fract_x
_atom_site_fract_y
_atom_site_fract_z
Cd1 Cd 0.0000 0.0000 0.0000
Cd2 Cd 0.0000 0.2500 0.2500
Sb1 Sb 0.0000 0.0000 0.5000
# Formation energy (no corrections) (eV/atom): 0.05
# Total DFT energy (no corrections) (eV/atom): -1.57

Record 2
# PBEsol Cd3Sb, relaxed
data_Cd3Sb
_chemical_formula_sum 'Cd12 Sb4'
_symmetry_space_group_name_H-M 'P n m a'
_symmetry_Int_Tables_number 62
_cell_length_a 5.0464
_cell_length_b 8.8406
_cell_length_c 8.4037
_cell_angle_alpha 90.00
_cell_angle_beta 90.00
_cell_angle_gamma 90.00
loop_
_symmetry_equiv_pos_as_xyz
'x,y,z'
'-x,-y,-z'
'-x+1/2,-y,z+1/2'
'x+1/2,y,-z+1/2'
'x+1/2,-y+1/2,-z+1/2'
'-x+1/2,y+1/2,z+1/2'
'-x,y+1/2,-z'
'x,-y+1/2,z'
loop_
_atom_site_label
_atom_site_type_symbol
_atom_site_fract_x
_atom_site_fract_y
_atom_site_fract_z
Cd1 Cd 0.1445 0.2500 0.1500
Cd2 Cd 0.1761 0.0185 0.8571
Sb1 Sb 0.0812 0.2500 0.5856
# Formation energy (no corrections) (eV/atom): 0.05
# Total DFT energy (no corrections) (eV/atom): -1.98

Record 3
# PBEsol CdSb, relaxed
data_CdSb
_chemical_formula_sum 'Cd2 Sb2'
_symmetry_space_group_name_H-M 'I m m m'
_symmetry_Int_Tables_number 71
_symmetry_space_group_name_Hall '-I 2 2'
_cell_length_a 3.1324
_cell_length_b 5.4017
_cell_length_c 5.8500
_cell_angle_alpha 90.00
_cell_angle_beta 90.00
_cell_angle_gamma 90.00
loop_
_atom_site_label
_atom_site_type_symbol
_atom_site_fract_x
_atom_site_fract_y
_atom_site_fract_z
Cd1 Cd 0.0000 0.0000 0.0000
Sb1 Sb 0.0000 0.0000 0.5000
# Formation energy (no corrections) (eV/atom): 0.04
# Total DFT energy (no corrections) (eV/atom): -2.84

Record 4
# PBEsol CdSb3, relaxed
data_CdSb3
_chemical_formula_sum 'Cd1 Sb3'
_symmetry_space_group_name_H-M 'P 1 2/m 1'
_symmetry_Int_Tables_number 10
_cell_length_a 3.0810
_cell_length_b 4.1879
_cell_length_c 8.5091
_cell_angle_alpha 90.00
_cell_angle_beta 98.92
_cell_angle_gamma 90.00
loop_
_symmetry_equiv_pos_as_xyz
'x,y,z'
'-x,-y,-z'
'-x,y,-z'
'x,-y,z'
loop_
_atom_site_label
_atom_site_type_symbol
_atom_site_fract_x
_atom_site_fract_y
_atom_site_fract_z
Cd1 Cd 0.0000 0.0000 0.0000
Sb1 Sb 0.0000 0.0000 0.5000
Sb2 Sb 0.1252 0.5000 0.7624
# Formation energy (no corrections) (eV/atom): 0.05
# Total DFT energy (no corrections) (eV/atom): -3.67

Record 5
# PBEsol CdSb, relaxed
data_CdSb
_chemical_formula_sum 'Cd2 Sb2'
_symmetry_space_group_name_H-M 'P m m n'
_symmetry_Int_Tables_number 59
_cell_length_a 3.2114
_cell_length_b 4.7712
_cell_length_c 6.6430
_cell_angle_alpha 90.00
_cell_angle_beta 90.00
_cell_angle_gamma 90.00
loop_
_symmetry_equiv_pos_as_xyz
'x,y,z'
'-x,-y,-z'
'-x+1/2,-y+1/2,z'
'x+1/2,y+1/2,-z'
'x+1/2,-y,-z'
'-x+1/2,y,z'
'-x,y+1/2,-z'
'x,-y+1/2,z'
loop_
_atom_site_label
_atom_site_type_symbol
_atom_site_fract_x
_atom_site_fract_y
_atom_site_fract_z
Cd1 Cd 0.2500 0.2500 0.0866
Sb1 Sb 0.2500 0.7500 0.3323
# Formation energy (no corrections) (eV/atom): 0.09
# Total DFT energy (no corrections) (eV/atom): -2.79

Record 6
# PBEsol Cd3Sb, relaxed
data_Cd3Sb
_chemical_formula_sum 'Cd3 Sb1'
_symmetry_space_group_name_H-M 'P m -3 m'
_symmetry_Int_Tables_number 221
_symmetry_space_group_name_Hall '-P 4 2 3'
_cell_length_a 4.5006
_cell_length_b 4.5006
_cell_length_c 4.5006
_cell_angle_alpha 90.00
_cell_angle_beta 90.00
_cell_angle_gamma 90.00
loop_
_atom_site_label
_atom_site_type_symbol
_atom_site_fract_x
_atom_site_fract_y
_atom_site_fract_z
Cd1 Cd 0.0000 0.0000 0.5000
Sb1 Sb 0.5000 0.5000 0.5000
# Formation energy (no corrections) (eV/atom): 0.08
# Total DFT energy (no corrections) (eV/atom): -1.96

Record 7
# PBEsol CdSb, relaxed
data_CdSb
_chemical_formula_sum 'Cd8 Sb8'
_symmetry_space_group_name_H-M 'P b c a'
_symmetry_Int_Tables_number 61
_cell_length_a 6.4349
_cell_length_b 8.2489
_cell_length_c 8.5362
_cell_angle_alpha 90.00
_cell_angle_beta 90.00
_cell_angle_gamma 90.00
loop_
_symmetry_equiv_pos_as_xyz
'x,y,z'
'-x,-y,-z'
'-x+1/2,-y,z+1/2'
'x+1/2,y,-z+1/2'
'x+1/2,-y+1/2,-z'
'-x+1/2,y+1/2,z'
'-x,y+1/2,-z+1/2'
'x,-y+1/2,z+1/2'
loop_
_atom_site_label
_atom_site_type_symbol
_atom_site_fract_x
_atom_site_fract_y
_atom_site_fract_z
Cd1 Cd 0.0456 0.1201 0.1323
Sb1 Sb 0.1401 0.5747 0.8947
# Formation energy (no corrections) (eV/atom): -0.01
# Total DFT energy (no corrections) (eV/atom): -2.89

Record 8
# PBEsol CdSb, relaxed
data_CdSb
_chemical_formula_sum 'Cd6 Sb6'
_symmetry_space_group_name_H-M 'R -3 m'
_symmetry_Int_Tables_number 166
_symmetry_space_group_name_Hall '-R 3 2"'
_cell_length_a 4.0960
_cell_length_b 4.0960
_cell_length_c 21.8604
_cell_angle_alpha 90.00
_cell_angle_beta 90.00
_cell_angle_gamma 120.00
loop_
_atom_site_label
_atom_site_type_symbol
_atom_site_fract_x
_atom_site_fract_y
_atom_site_fract_z
Cd1 Cd 0.0000 0.0000 0.1276
Sb1 Sb 0.0000 0.0000 0.3744
# Formation energy (no corrections) (eV/atom): 0.09
# Total DFT energy (no corrections) (eV/atom): -2.79

Record 9
# PBEsol Cd5Sb, relaxed
data_Cd5Sb
_chemical_formula_sum 'Cd5 Sb1'
_symmetry_space_group_name_H-M 'P 4/m m m'
_symmetry_Int_Tables_number 123
_symmetry_space_group_name_Hall '-P 4 2'
_cell_length_a 3.1777
_cell_length_b 3.1777
_cell_length_c 13.1164
_cell_angle_alpha 90.00
_cell_angle_beta 90.00
_cell_angle_gamma 90.00
loop_
_atom_site_label
_atom_site_type_symbol
_atom_site_fract_x
_atom_site_fract_y
_atom_site_fract_z
Cd1 Cd 0.0000 0.0000 0.0000
Cd2 Cd 0.0000 0.0000 0.3180
Cd3 Cd 0.5000 0.5000 0.1597
Sb1 Sb 0.5000 0.5000 0.5000
# Formation energy (no corrections) (eV/atom): 0.06
# Total DFT energy (no corrections) (eV/atom): -1.70

Record 10
# PBEsol Cd5Sb, relaxed
data_Cd5Sb
_chemical_formula_sum 'Cd10 Sb2'
_symmetry_space_group_name_H-M 'A m m 2'
_symmetry_Int_Tables_number 38
_cell_length_a 5.5627
_cell_length_b 2.9555
_cell_length_c 16.4823
_cell_angle_alpha 90.00
_cell_angle_beta 90.00
_cell_angle_gamma 90.00
loop_
_symmetry_equiv_pos_as_xyz
'x,y,z'
'-x,-y,z'
'-x,y,z'
'x,-y,z'
'x,y+1/2,z+1/2'
'-x,-y+1/2,z+1/2'
'-x,y+1/2,z+1/2'
'x,-y+1/2,z+1/2'
loop_
_atom_site_label
_atom_site_type_symbol
_atom_site_fract_x
_atom_site_fract_y
_atom_site_fract_z
Cd1 Cd 0.0000 0.0000 0.0000
Cd2 Cd 0.0000 0.0000 0.3330
Cd3 Cd 0.0000 0.0000 0.6658
Cd4 Cd 0.5000 0.0000 0.1595
Cd5 Cd 0.5000 0.0000 0.5026
Sb1 Sb 0.5000 0.0000 0.8311
# Formation energy (no corrections) (eV/atom): 0.07
# Total DFT energy (no corrections) (eV/atom): -1.68

Record 11
# PBEsol CdSbSe, relaxed
data_CdSbSe
_chemical_formula_sum 'Cd4 Sb4 Se4'
_symmetry_space_group_name_H-M 'F -4 3 m'
_symmetry_Int_Tables_number 216
_symmetry_space_group_name_Hall 'F -4 2 3'
_cell_length_a 6.9226
_cell_length_b 6.9226
_cell_length_c 6.9226
_cell_angle_alpha 90.00
_cell_angle_beta 90.00
_cell_angle_gamma 90.00
loop_
_atom_site_label
_atom_site_type_symbol
_atom_site_fract_x
_atom_site_fract_y
_atom_site_fract_z
Cd1 Cd 0.0000 0.0000 0.0000
Sb1 Sb 0.2500 0.2500 0.7500
Se1 Se 0.0000 0.0000 0.5000
# Formation energy (no corrections) (eV/atom): 0.24
# Total DFT energy (no corrections) (eV/atom): -2.97

Record 12
# PBEsol CdSi2Sb, relaxed
data_CdSi2Sb
_chemical_formula_sum 'Cd1 Si2 Sb1'
_symmetry_space_group_name_H-M 'P 4 m m'
_symmetry_Int_Tables_number 99
_cell_length_a 3.3552
_cell_length_b 3.3552
_cell_length_c 7.1327
_cell_angle_alpha 90.00
_cell_angle_beta 90.00
_cell_angle_gamma 90.00
loop_
_symmetry_equiv_pos_as_xyz
'x,y,z'
'-y,x,z'
'-x,-y,z'
'y,-x,z'
'-x,y,z'
'y,x,z'
'x,-y,z'
'-y,-x,z'
loop_
_atom_site_label
_atom_site_type_symbol
_atom_site_fract_x
_atom_site_fract_y
_atom_site_fract_z
Cd1 Cd 0.0000 0.0000 0.0000
Si1 Si 0.0000 0.0000 0.6032
Si2 Si 0.5000 0.5000 0.7112
Sb1 Sb 0.5000 0.5000 0.3050
# Formation energy (no corrections) (eV/atom): 0.32
# Total DFT energy (no corrections) (eV/atom): -4.00

Record 13
# PBEsol CdSi2Sb, relaxed
data_CdSi2Sb
_chemical_formula_sum 'Cd1 Si2 Sb1'
_symmetry_space_group_name_H-M 'P m m m'
_symmetry_Int_Tables_number 47
_cell_length_a 3.6647
_cell_length_b 4.6211
_cell_length_c 4.7248
_cell_angle_alpha 90.00
_cell_angle_beta 90.00
_cell_angle_gamma 90.00
loop_
_symmetry_equiv_pos_as_xyz
'x,y,z'
'-x,-y,-z'
'-x,-y,z'
'x,y,-z'
'x,-y,-z'
'-x,y,z'
'-x,y,-z'
'x,-y,z'
loop_
_atom_site_label
_atom_site_type_symbol
_atom_site_fract_x
_atom_site_fract_y
_atom_site_fract_z
Cd1 Cd 0.0000 0.0000 0.0000
Si1 Si 0.5000 0.0000 0.5000
Si2 Si 0.5000 0.5000 0.0000
Sb1 Sb 0.0000 0.5000 0.5000
# Formation energy (no corrections) (eV/atom): 0.48
# Total DFT energy (no corrections) (eV/atom): -3.83

Record 14
# PBEsol CdSiSb2, relaxed
data_CdSiSb2
_chemical_formula_sum 'Cd1 Si1 Sb2'
_symmetry_space_group_name_H-M 'P m m 2'
_symmetry_Int_Tables_number 25
_cell_length_a 3.7731
_cell_length_b 3.8963
_cell_length_c 6.5340
_cell_angle_alpha 90.00
_cell_angle_beta 90.00
_cell_angle_gamma 90.00
loop_
_symmetry_equiv_pos_as_xyz
'x,y,z'
'-x,-y,z'
'-x,y,z'
'x,-y,z'
loop_
_atom_site_label
_atom_site_type_symbol
_atom_site_fract_x
_atom_site_fract_y
_atom_site_fract_z
Cd1 Cd 0.0000 0.0000 0.0000
Si1 Si 0.5000 0.5000 0.7202
Sb1 Sb 0.0000 0.0000 0.5641
Sb2 Sb 0.5000 0.5000 0.1571
# Formation energy (no corrections) (eV/atom): 0.26
# Total DFT energy (no corrections) (eV/atom): -3.76